Record 1
# PBEsol Li2Mn3O6, optimized geometry
# **V**: 8.92 A^3/atom
# **Formation energy from raw total energies**: -1770 meV per atom
# **Calculated total energy**: -7.653 eV/atom
data_Li2Mn3O6
_cell_length_a 14.092
_cell_length_b 2.840
_cell_length_c 4.940
_cell_angle_alpha 90.00
_cell_angle_beta 96.86
_cell_angle_gamma 90.00
_space_group_name_H-M_alt 'C 1 2/m 1'
_space_group_IT_number 12
loop_
_space_group_symop_operation_xyz
'x,y,z'
'-x,-y,-z'
'-x,y,-z'
'x,-y,z'
'x+1/2,y+1/2,z'
'-x+1/2,-y+1/2,-z'
'-x+1/2,y+1/2,-z'
'x+1/2,-y+1/2,z'
loop_
_atom_site_label
_atom_site_type_symbol
_atom_site_fract_x
_atom_site_fract_y
_atom_site_fract_z
Li1 Li 0.181 0.000 0.071
Mn1 Mn 0.000 0.000 0.000
Mn2 Mn 0.153 0.500 0.552
O1 O 0.077 0.500 0.871
O2 O 0.091 0.000 0.347
O3 O 0.235 0.000 0.724

Record 2
# PBEsol Li3Mn2O5, optimized geometry
# **V**: 8.08 A^3/atom
# **Formation energy from raw total energies**: -1936 meV per atom
# **Calculated total energy**: -7.103 eV/atom
data_Li3Mn2O5
_cell_length_a 4.865
_cell_length_b 4.999
_cell_length_c 7.441
_cell_angle_alpha 71.32
_cell_angle_beta 70.92
_cell_angle_gamma 80.53
_space_group_name_H-M_alt 'P -1'
_space_group_IT_number 2
loop_
_space_group_symop_operation_xyz
'x,y,z'
'-x,-y,-z'
loop_
_atom_site_label
_atom_site_type_symbol
_atom_site_fract_x
_atom_site_fract_y
_atom_site_fract_z
Li1 Li 0.000 0.000 0.000
Li2 Li 0.099 0.513 0.290
Li3 Li 0.287 0.498 0.905
Li4 Li 0.500 0.500 0.500
Mn1 Mn 0.199 0.999 0.602
Mn2 Mn 0.404 0.001 0.193
O1 O 0.054 0.229 0.167
O2 O 0.149 0.776 0.443
O3 O 0.267 0.226 0.742
O4 O 0.367 0.768 0.047
O5 O 0.452 0.223 0.354

Record 3
# PBEsol Li5MnO4, optimized geometry
# **V**: 9.52 A^3/atom
# **Formation energy from raw total energies**: -1809 meV per atom
# **Calculated total energy**: -5.868 eV/atom
data_Li5MnO4
_cell_length_a 4.533
_cell_length_b 8.886
_cell_length_c 9.458
_cell_angle_alpha 90.00
_cell_angle_beta 90.00
_cell_angle_gamma 90.00
_space_group_name_H-M_alt 'A e a 2'
_space_group_IT_number 41
loop_
_space_group_symop_operation_xyz
'x,y,z'
'-x,-y,z'
'-x+1/2,y+1/2,z'
'x+1/2,-y+1/2,z'
'x,y+1/2,z+1/2'
'-x,-y+1/2,z+1/2'
'-x+1/2,y,z+1/2'
'x+1/2,-y,z+1/2'
loop_
_atom_site_label
_atom_site_type_symbol
_atom_site_fract_x
_atom_site_fract_y
_atom_site_fract_z
Li1 Li 0.000 0.000 0.000
Li2 Li 0.029 0.206 0.233
Li3 Li 0.078 0.219 0.483
Mn1 Mn 0.000 0.000 0.726
O1 O 0.136 0.143 0.856
O2 O 0.209 0.366 0.108

Record 4
# PBEsol LiMn3O4, optimized geometry
# **V**: 9.45 A^3/atom
# **Formation energy from raw total energies**: -1467 meV per atom
# **Calculated total energy**: -7.998 eV/atom
data_LiMn3O4
_cell_length_a 3.043
_cell_length_b 8.201
_cell_length_c 6.067
_cell_angle_alpha 90.00
_cell_angle_beta 93.03
_cell_angle_gamma 90.00
_space_group_name_H-M_alt 'P 1 2/m 1'
_space_group_IT_number 10
loop_
_space_group_symop_operation_xyz
'x,y,z'
'-x,-y,-z'
'-x,y,-z'
'x,-y,z'
loop_
_atom_site_label
_atom_site_type_symbol
_atom_site_fract_x
_atom_site_fract_y
_atom_site_fract_z
Li1 Li 0.000 0.000 0.000
Li2 Li 0.000 0.500 0.500
Mn1 Mn 0.000 0.000 0.500
Mn2 Mn 0.000 0.500 0.000
Mn3 Mn 0.499 0.249 0.750
O1 O 0.000 0.242 0.500
O2 O 0.000 0.249 0.000
O3 O 0.449 0.000 0.743
O4 O 0.473 0.500 0.248

Record 5
# PBEsol Li13Mn8O24, optimized geometry
# **V**: 8.54 A^3/atom
# **Formation energy from raw total energies**: -1869 meV per atom
# **Calculated total energy**: -6.972 eV/atom
data_Li13Mn8O24
_cell_length_a 4.891
_cell_length_b 8.425
_cell_length_c 9.449
_cell_angle_alpha 90.00
_cell_angle_beta 99.31
_cell_angle_gamma 90.00
_space_group_name_H-M_alt 'P 1 2/m 1'
_space_group_IT_number 10
loop_
_space_group_symop_operation_xyz
'x,y,z'
'-x,-y,-z'
'-x,y,-z'
'x,-y,z'
loop_
_atom_site_label
_atom_site_type_symbol
_atom_site_fract_x
_atom_site_fract_y
_atom_site_fract_z
Li1 Li 0.000 0.000 0.000
Li2 Li 0.245 0.346 0.750
Li3 Li 0.252 0.500 0.250
Li4 Li 0.256 0.153 0.254
Li5 Li 0.260 0.000 0.746
Mn1 Mn 0.000 0.168 0.500
Mn2 Mn 0.000 0.335 0.000
Mn3 Mn 0.500 0.172 0.000
Mn4 Mn 0.500 0.332 0.500
O1 O 0.090 0.000 0.385
O2 O 0.093 0.500 0.883
O3 O 0.144 0.180 0.887
O4 O 0.151 0.314 0.387
O5 O 0.350 0.187 0.614
O6 O 0.351 0.315 0.113
O7 O 0.395 0.000 0.113
O8 O 0.409 0.500 0.615

Record 6
# PBEsol Li2Mn2O3, optimized geometry
# **V**: 10.76 A^3/atom
# **Formation energy from raw total energies**: -1409 meV per atom
# **Calculated total energy**: -7.010 eV/atom
data_Li2Mn2O3
_cell_length_a 5.730
_cell_length_b 5.334
_cell_length_c 5.410
_cell_angle_alpha 90.00
_cell_angle_beta 114.36
_cell_angle_gamma 90.00
_space_group_name_H-M_alt 'P 1 21/c 1'
_space_group_IT_number 14
loop_
_space_group_symop_operation_xyz
'x,y,z'
'-x,-y,-z'
'-x,y+1/2,-z+1/2'
'x,-y+1/2,z+1/2'
loop_
_atom_site_label
_atom_site_type_symbol
_atom_site_fract_x
_atom_site_fract_y
_atom_site_fract_z
Li1 Li 0.061 0.154 0.184
Mn1 Mn 0.358 0.594 0.219
O1 O 0.000 0.000 0.500
O2 O 0.295 0.545 0.585